First-principles (PBE-GGA) data for a relaxed Hf3NbSn2C2 crystal, as listed in OQMD via LeMat-Bulk.

Output
- Space-group type: P3m1

Lattice parameters (Å, degrees): 3.308 3.308 14.421 90.00 90.00 120.00
Fractional coordinates of all 8 atoms:
C  0.333  0.667  0.501
C  0.333  0.667  0.998
Hf  0.667  0.333  0.081
Hf  0.667  0.333  0.415
Hf  0.000  0.000  0.587
Nb  0.000  0.000  0.915
Sn  0.000  0.000  0.249
Sn  0.667  0.333  0.755

First-principles (PBE-GGA) data for a relaxed Hf4Nb2Sn3C3 crystal, as listed in OQMD via LeMat-Bulk.

Output
- Space-group type: C2/c

Lattice parameters (Å, degrees): 5.688 5.688 14.841 101.06 101.06 60.05
Fractional coordinates of all 24 atoms:
C  0.667  0.166  0.000
C  0.000  0.500  0.000
C  0.333  0.834  0.000
C  0.166  0.667  0.500
C  0.500  0.000  0.500
C  0.834  0.333  0.500
Hf  0.030  0.194  0.087
Hf  0.696  0.864  0.087
Hf  0.136  0.304  0.413
Hf  0.806  0.970  0.413
Hf  0.194  0.030  0.587
Hf  0.864  0.696  0.587
Hf  0.304  0.136  0.913
Hf  0.970  0.806  0.913
Nb  0.359  0.527  0.082
Nb  0.473  0.641  0.418
Nb  0.527  0.359  0.582
Nb  0.641  0.473  0.918
Sn  0.738  0.584  0.250
Sn  0.095  0.905  0.250
Sn  0.416  0.262  0.250
Sn  0.584  0.738  0.750
Sn  0.905  0.095  0.750
Sn  0.262  0.416  0.750

First-principles (PBE-GGA) data for a relaxed Hf4Nb2Tl3C3 crystal, as listed in OQMD via LeMat-Bulk.

Output
- Space-group type: C2/c

Lattice parameters (Å, degrees): 5.726 5.726 15.068 100.94 100.94 60.06
Fractional coordinates of all 24 atoms:
C  0.500  0.000  0.000
C  0.834  0.333  0.000
C  0.166  0.667  0.000
C  0.333  0.834  0.500
C  0.000  0.500  0.500
C  0.667  0.166  0.500
Hf  0.192  0.031  0.084
Hf  0.864  0.694  0.084
Hf  0.306  0.136  0.416
Hf  0.969  0.808  0.416
Hf  0.031  0.192  0.584
Hf  0.694  0.864  0.584
Hf  0.136  0.306  0.916
Hf  0.808  0.969  0.916
Nb  0.525  0.357  0.077
Nb  0.643  0.475  0.423
Nb  0.357  0.525  0.577
Nb  0.475  0.643  0.923
Tl  0.583  0.740  0.249
Tl  0.907  0.093  0.250
Tl  0.260  0.417  0.251
Tl  0.740  0.583  0.749
Tl  0.093  0.907  0.750
Tl  0.417  0.260  0.751

First-principles (PBE-GGA) data for a relaxed Hf2Nb4Zn3C3 crystal, as listed in OQMD via LeMat-Bulk.

Output
- Space-group type: C2/c

Lattice parameters (Å, degrees): 5.496 5.496 14.323 101.25 101.25 59.94
Fractional coordinates of all 24 atoms:
C  0.664  0.171  0.000
C  0.000  0.500  0.000
C  0.336  0.829  0.000
C  0.171  0.664  0.500
C  0.500  0.000  0.500
C  0.829  0.336  0.500
Hf  0.371  0.534  0.100
Hf  0.466  0.629  0.400
Hf  0.534  0.371  0.600
Hf  0.629  0.466  0.900
Nb  0.695  0.858  0.084
Nb  0.024  0.199  0.084
Nb  0.801  0.976  0.416
Nb  0.142  0.305  0.416
Nb  0.858  0.695  0.584
Nb  0.199  0.024  0.584
Nb  0.976  0.801  0.916
Nb  0.305  0.142  0.916
Zn  0.416  0.130  0.249
Zn  0.963  0.037  0.250
Zn  0.870  0.584  0.251
Zn  0.130  0.416  0.749
Zn  0.037  0.963  0.750
Zn  0.584  0.870  0.751

First-principles (PBE-GGA) data for a relaxed Hf4Nb2Zn3C3 crystal, as listed in OQMD via LeMat-Bulk.

Output
- Space-group type: C2/c

Lattice parameters (Å, degrees): 5.611 5.611 14.317 101.56 101.56 60.02
Fractional coordinates of all 24 atoms:
C  0.668  0.163  0.000
C  0.000  0.500  0.000
C  0.332  0.837  0.000
C  0.163  0.668  0.500
C  0.500  0.000  0.500
C  0.837  0.332  0.500
Hf  0.035  0.195  0.093
Hf  0.698  0.869  0.093
Hf  0.131  0.302  0.407
Hf  0.805  0.965  0.407
Hf  0.195  0.035  0.593
Hf  0.869  0.698  0.593
Hf  0.302  0.131  0.907
Hf  0.965  0.805  0.907
Nb  0.358  0.527  0.080
Nb  0.473  0.642  0.420
Nb  0.527  0.358  0.580
Nb  0.642  0.473  0.920
Zn  0.699  0.582  0.249
Zn  0.136  0.864  0.250
Zn  0.418  0.301  0.251
Zn  0.582  0.699  0.749
Zn  0.864  0.136  0.750
Zn  0.301  0.418  0.751

First-principles (PBE-GGA) data for a relaxed NdHf4C2Se crystal, as listed in OQMD via LeMat-Bulk.

Output
- Space-group type: P-6m2

Lattice parameters (Å, degrees): 3.366 3.366 14.876 90.00 90.00 120.00
Last column: magnetic moment on the atom in μB.
Fractional coordinates of all 8 atoms:
C  0.333  0.667  0.287  0.00
C  0.333  0.667  0.713  0.00
Hf  0.667  0.333  0.204  0.04
Hf  0.000  0.000  0.368  0.01
Hf  0.000  0.000  0.632  0.01
Hf  0.667  0.333  0.796  0.04
Nd  0.000  0.000  0.000  0.15
Se  0.667  0.333  0.500  0.00

First-principles (PBE-GGA) data for a relaxed HfNiC2 crystal, as listed in OQMD via LeMat-Bulk.

Output
- Space-group type: P4/mmm

Lattice parameters (Å, degrees): 3.172 3.172 4.385 90.00 90.00 90.00
Last column: magnetic moment on the atom in μB.
Fractional coordinates of all 4 atoms:
C  0.500  0.500  0.000  0.03
C  0.000  0.000  0.500  0.03
Hf  0.000  0.000  0.000  0.02
Ni  0.500  0.500  0.500  0.09

First-principles (PBE-GGA) data for a relaxed Hf3NiC2 crystal, as listed in OQMD via LeMat-Bulk.

Output
- Space-group type: P6_3/mmc

Lattice parameters (Å, degrees): 3.283 3.283 18.151 90.00 90.00 120.00
Fractional coordinates of all 12 atoms:
C  0.333  0.667  0.076
C  0.333  0.667  0.424
C  0.667  0.333  0.576
C  0.667  0.333  0.924
Hf  0.000  0.000  0.000
Hf  0.667  0.333  0.144
Hf  0.667  0.333  0.356
Hf  0.000  0.000  0.500
Hf  0.333  0.667  0.644
Hf  0.333  0.667  0.856
Ni  0.000  0.000  0.250
Ni  0.000  0.000  0.750

no.,VASP energy (eV per atom)
1,-8.9787
2,-8.9623
3,-8.4184
4,-8.1106
5,-8.1412
6,-9.0952
7,-8.1604
8,-9.6796